Below is Ba3InAs after structural relaxation, with properties calculated at the PBE level.

Cell and atoms, written as POSCAR:
```
Ba3InAs
1.0
6.336 0.000 0.000
0.000 6.336 0.000
0.000 0.000 6.336
Ba As In
3 1 1
Cartesian
0.000 0.000 3.168
0.000 3.168 0.000
3.168 0.000 0.000
0.000 0.000 0.000
3.168 3.168 3.168
```

Output
The uncorrected energy comes out at -3.14 eV/atom. The energy above the most stable polymorph in this dataset is 0.0000 eV per atom. As for the space group: Pm-3m, No. 221.